VASP calculation (PBE with a Hubbard U) on an optimized crystal structure of CrCuTcF.

Structure (POSCAR):
```
CrCuTcF
1.0
6.4646 -1.3927 0.0000
6.4646 1.3927 0.0000
-0.8645 0.0000 3.2684
Cr Cu Tc F
1 1 1 1
Direct
0.0000 0.0000 0.0000
0.3706 0.3706 0.3740
0.7714 0.7714 0.7773
0.1304 0.1304 0.6385
```

Properties
Symmetry   Cm
Offset from the most stable computed form   0.094 eV/atom